InCuS3 | GGA-PBEsol | optimized geometry

The mass density comes out at 3.813 g/cm³. The density of states at the Fermi level is 6.74 states/eV/f.u. Its energy is -3.24 eV/atom. For the formation energy without anion corrections, the calculation gives 0.850 eV per atom. The space group is No. 221.

Cell lengths 4.927, 4.927, 4.927 Å; angles 90.00, 90.00, 90.00 degrees
Atoms (fractional coordinates):
In: 0.000 0.000 0.000
Cu: 0.500 0.500 0.500
S: 0.000 0.000 0.500
S: 0.000 0.500 0.000
S: 0.500 0.000 0.000